No. 1
A plane-wave DFT calculation with PBE was carried out for a geometry-optimized Dy2C2ICl structure.

Unit cell a=7.1149 b=3.8148 c=10.8458 alpha=90.00 beta=99.20 gamma=90.00
Space group Cm (No. 8)
Asymmetric unit:
Dy 0.0000 0.0000 0.0000
Dy 0.1949 0.0000 0.7342
C 0.0093 0.5000 0.8338
C 0.1844 0.5000 0.9001
I 0.3876 0.0000 0.1991
Cl 0.3057 0.5000 0.5775

Output
Total DFT energy (no corrections) (eV/atom): -6.22
Magnetic moment (Bohr magnetons per cell): 0.0

***

No. 2
A plane-wave DFT calculation with PBE was carried out for a geometry-optimized AlFeTcAu structure.

Unit cell a=6.1916 b=6.1916 c=6.1916 alpha=90.00 beta=90.00 gamma=90.00
Space group F-43m (No. 216)
Asymmetric unit:
Al 0.0000 0.0000 0.0000
Fe 0.2500 0.2500 0.2500
Tc 0.0000 0.0000 0.5000
Au 0.2500 0.2500 0.7500

Output
Energy relative to the lowest polymorph listed for this composition (meV/atom): 0.0
Total DFT energy (no corrections) (eV/atom): -6.28
Magnetic moment (Bohr magnetons per cell): 12.1

***

No. 3
A plane-wave DFT calculation with PBE was carried out for a geometry-optimized LaSmSi2Os2 structure.

Unit cell a=4.2268 b=4.2268 c=7.0226 alpha=90.00 beta=90.00 gamma=90.00
Space group P4mm (No. 99)
Asymmetric unit:
La 0.0000 0.0000 0.0000
Sm 0.5000 0.5000 0.3567
Si 0.0000 0.0000 0.4937
Si 0.5000 0.5000 0.8463
Os 0.0000 0.5000 0.6695

Output
Total DFT energy (no corrections) (eV/atom): -7.81
Magnetic moment (Bohr magnetons per cell): 0.0

***

No. 4
A plane-wave DFT calculation with PBE was carried out for a geometry-optimized Li3Fe2S4 structure.

Unit cell a=6.1957 b=6.9080 c=7.2293 alpha=89.17 beta=78.91 gamma=85.59
Space group P-1 (No. 2)
Asymmetric unit:
Li 0.0021 0.2711 0.4234
Li 0.0981 0.6433 0.1399
Li 0.4864 0.6562 0.6521
Fe 0.1436 0.0451 0.0941
Fe 0.3736 0.2062 0.8053
S 0.2145 0.9224 0.8197
S 0.2267 0.4187 0.6199
S 0.2679 0.8745 0.3141
S 0.2910 0.3232 0.0981

Output
Energy relative to the lowest polymorph listed for this composition (meV/atom): 0.0
Total DFT energy (no corrections) (eV/atom): -5.09
Magnetic moment (Bohr magnetons per cell): 9.8

***

No. 5
A plane-wave DFT calculation with PBE was carried out for a geometry-optimized NbTlSi structure.

Unit cell a=6.4838 b=6.4838 c=6.4838 alpha=90.00 beta=90.00 gamma=90.00
Space group F-43m (No. 216)
Asymmetric unit:
Nb 0.0000 0.0000 0.0000
Tl 0.2500 0.2500 0.7500
Si 0.2500 0.2500 0.2500

Output
Energy relative to the lowest polymorph listed for this composition (meV/atom): 95.2
Total DFT energy (no corrections) (eV/atom): -5.24
Magnetic moment (Bohr magnetons per cell): 6.2

***

No. 6
A plane-wave DFT calculation with PBE was carried out for a geometry-optimized KRe3Sn5 structure.

Unit cell a=5.4775 b=5.4775 c=9.4602 alpha=90.00 beta=90.00 gamma=120.00
Space group P6/mmm (No. 191)
Asymmetric unit:
K 0.0000 0.0000 0.0000
Re 0.0000 0.5000 0.5000
Sn 0.0000 0.0000 0.5000
Sn 0.3333 0.6667 0.2445

Output
Total DFT energy (no corrections) (eV/atom): -6.30
Magnetic moment (Bohr magnetons per cell): 0.0

***

No. 7
A plane-wave DFT calculation with PBE was carried out for a geometry-optimized LuAl3 structure.

Unit cell a=4.2031 b=4.2031 c=4.2031 alpha=90.00 beta=90.00 gamma=90.00
Space group Pm-3m (No. 221)
Asymmetric unit:
Lu 0.0000 0.0000 0.0000
Al 0.0000 0.5000 0.5000

Output
Total DFT energy (no corrections) (eV/atom): -4.34
Magnetic moment (Bohr magnetons per cell): 0.0

***

No. 8
A plane-wave DFT calculation with PBE was carried out for a geometry-optimized Ba2ScPtN6 structure.

Unit cell a=10.1648 b=5.8694 c=5.8734 alpha=90.00 beta=125.23 gamma=90.00
Space group C2/m (No. 12)
Asymmetric unit:
Ba 0.2501 0.0000 0.2498
Sc 0.0000 0.0000 0.5000
Pt 0.0000 0.5000 0.0000
N 0.0017 0.2573 0.7598
N 0.2424 0.5000 0.2450

Output
Total DFT energy (no corrections) (eV/atom): -6.32
Magnetic moment (Bohr magnetons per cell): 0.2

***

What did the fourth record say?
A plane-wave DFT calculation with PBE was carried out for a geometry-optimized Li3Fe2S4 structure.

Unit cell a=6.1957 b=6.9080 c=7.2293 alpha=89.17 beta=78.91 gamma=85.59
Space group P-1 (No. 2)
Asymmetric unit:
Li 0.0021 0.2711 0.4234
Li 0.0981 0.6433 0.1399
Li 0.4864 0.6562 0.6521
Fe 0.1436 0.0451 0.0941
Fe 0.3736 0.2062 0.8053
S 0.2145 0.9224 0.8197
S 0.2267 0.4187 0.6199
S 0.2679 0.8745 0.3141
S 0.2910 0.3232 0.0981

Output
Energy relative to the lowest polymorph listed for this composition (meV/atom): 0.0
Total DFT energy (no corrections) (eV/atom): -5.09
Magnetic moment (Bohr magnetons per cell): 9.8

***

- Which of these has the highest magnetic moment?
  AlFeTcAu